1 | Density functional theory data (meta-GGA SCAN) for a crystal of KHgSe2 relaxed with PBEsol.

abc: 4.056 4.056 6.375
angles: 90.00 90.00 90.00
Fractional positions:
K: 0.000 0.000 0.000
Hg: 0.000 0.000 0.500
Se: 0.500 0.500 0.305
Se: 0.500 0.500 0.695

Computed properties:
D(E_F)   1.1 states/eV per cell
Symmetry   P4/mmm, No. 123
Crystal system   tetragonal

=====

2 | Density functional theory data (meta-GGA SCAN) for a crystal of KHgSe2 relaxed with PBEsol.

abc: 7.236 7.236 7.236
angles: 90.00 90.00 90.00
Fractional positions:
K: 0.000 0.000 0.000
K: 0.000 0.500 0.500
K: 0.500 0.000 0.500
K: 0.500 0.500 0.000
Hg: 0.000 0.000 0.500
Hg: 0.000 0.500 0.000
Hg: 0.500 0.000 0.000
Hg: 0.500 0.500 0.500
Se: 0.250 0.250 0.250
Se: 0.250 0.250 0.750
Se: 0.250 0.750 0.250
Se: 0.250 0.750 0.750
Se: 0.750 0.250 0.250
Se: 0.750 0.250 0.750
Se: 0.750 0.750 0.250
Se: 0.750 0.750 0.750

Computed properties:
D(E_F)   17.2 states/eV per cell
Symmetry   Fm-3m, No. 225
Crystal system   cubic

=====

Of them, the most stable is 1 and the least stable is 2.

=====

1 | Density functional theory data (meta-GGA SCAN) for a crystal of KTl2Hg2 relaxed with PBEsol.

abc: 5.477 5.477 10.590
angles: 90.00 90.00 90.00
Fractional positions:
K: 0.000 0.000 0.000
K: 0.500 0.500 0.500
Tl: 0.000 0.000 0.360
Tl: 0.000 0.000 0.640
Tl: 0.500 0.500 0.140
Tl: 0.500 0.500 0.860
Hg: 0.000 0.500 0.250
Hg: 0.000 0.500 0.750
Hg: 0.500 0.000 0.250
Hg: 0.500 0.000 0.750

Computed properties:
D(E_F)   4.0 states/eV per cell
Symmetry   I4/mmm, No. 139
Crystal system   tetragonal

=====

2 | Density functional theory data (meta-GGA SCAN) for a crystal of KTl2Hg2 relaxed with PBEsol.

abc: 9.021 9.021 3.497
angles: 90.00 90.00 90.00
Fractional positions:
K: 0.000 0.000 0.000
K: 0.500 0.500 0.000
Tl: 0.135 0.365 0.000
Tl: 0.365 0.865 0.000
Tl: 0.635 0.135 0.000
Tl: 0.865 0.635 0.000
Hg: 0.160 0.660 0.500
Hg: 0.340 0.160 0.500
Hg: 0.660 0.840 0.500
Hg: 0.840 0.340 0.500

Computed properties:
D(E_F)   4.3 states/eV per cell
Symmetry   P4/mbm, No. 127
Crystal system   tetragonal

=====

Of them, the most stable is 1 and the least stable is 2.

=====

1 | Density functional theory data (meta-GGA SCAN) for a crystal of KTlHg2 relaxed with PBEsol.

abc: 3.425 4.928 6.802
angles: 90.00 103.81 90.00
Fractional positions:
K: 0.000 0.000 0.000
Tl: 0.661 0.500 0.316
Hg: 0.277 0.000 0.514
Hg: 0.389 0.500 0.768

Computed properties:
D(E_F)   1.8 states/eV per cell
Symmetry   Pm, No. 6
Crystal system   monoclinic

=====

2 | Density functional theory data (meta-GGA SCAN) for a crystal of KTlHg2 relaxed with PBEsol.

abc: 3.469 4.382 7.453
angles: 90.00 90.27 90.00
Fractional positions:
K: 0.000 0.000 0.000
Tl: 0.000 0.000 0.500
Hg: 0.497 0.500 0.722
Hg: 0.503 0.500 0.278

Computed properties:
D(E_F)   1.9 states/eV per cell
Symmetry   P2/m, No. 10
Crystal system   monoclinic

=====

3 | Density functional theory data (meta-GGA SCAN) for a crystal of KTlHg2 relaxed with PBEsol.

abc: 3.903 3.903 7.535
angles: 90.00 90.00 90.00
Fractional positions:
K: 0.000 0.000 0.000
Tl: 0.000 0.000 0.500
Hg: 0.500 0.500 0.282
Hg: 0.500 0.500 0.718

Computed properties:
D(E_F)   1.7 states/eV per cell
Symmetry   P4/mmm, No. 123
Crystal system   tetragonal

=====

Of them, the most stable is 3 and the least stable is 1.

=====

1 | Density functional theory data (meta-GGA SCAN) for a crystal of KTlHg2 relaxed with PBEsol.

abc: 4.301 5.369 9.747
angles: 90.00 90.00 90.00
Fractional positions:
K: 0.000 0.000 0.000
K: 0.500 0.500 0.500
Tl: 0.000 0.500 0.779
Tl: 0.500 0.000 0.279
Hg: 0.000 0.000 0.511
Hg: 0.000 0.500 0.227
Hg: 0.500 0.000 0.727
Hg: 0.500 0.500 0.011

Computed properties:
D(E_F)   4.4 states/eV per cell
Symmetry   Imm2, No. 44
Crystal system   orthorhombic

=====

2 | Density functional theory data (meta-GGA SCAN) for a crystal of KTlHg2 relaxed with PBEsol.

abc: 4.886 4.886 9.159
angles: 90.00 90.00 90.00
Fractional positions:
K: 0.000 0.000 0.000
K: 0.500 0.500 0.500
Tl: 0.000 0.500 0.250
Tl: 0.500 0.000 0.750
Hg: 0.000 0.000 0.500
Hg: 0.000 0.500 0.750
Hg: 0.500 0.000 0.250
Hg: 0.500 0.500 0.000

Computed properties:
D(E_F)   4.3 states/eV per cell
Symmetry   I-4m2, No. 119
Crystal system   tetragonal

=====

3 | Density functional theory data (meta-GGA SCAN) for a crystal of KTlHg2 relaxed with PBEsol.

abc: 10.019 3.350 6.946
angles: 90.00 96.73 90.00
Fractional positions:
K: 0.000 0.000 0.000
K: 0.500 0.500 0.000
Tl: 0.000 0.500 0.500
Tl: 0.500 0.000 0.500
Hg: 0.248 0.000 0.716
Hg: 0.252 0.500 0.284
Hg: 0.748 0.500 0.716
Hg: 0.752 0.000 0.284

Computed properties:
D(E_F)   3.7 states/eV per cell
Symmetry   C2/m, No. 12
Crystal system   monoclinic

=====

Of them, the most stable is 1 and the least stable is 2.

=====

1 | Density functional theory data (meta-GGA SCAN) for a crystal of KTlHg2 relaxed with PBEsol.

abc: 7.055 7.062 4.472
angles: 90.00 90.00 90.00
Fractional positions:
K: 0.000 0.000 0.000
K: 0.500 0.500 0.000
Tl: 0.000 0.500 0.000
Tl: 0.500 0.000 0.000
Hg: 0.250 0.250 0.500
Hg: 0.250 0.750 0.500
Hg: 0.750 0.250 0.500
Hg: 0.750 0.750 0.500

Computed properties:
D(E_F)   3.8 states/eV per cell
Symmetry   Cmmm, No. 65
Crystal system   orthorhombic

=====

2 | Density functional theory data (meta-GGA SCAN) for a crystal of KTlHg2 relaxed with PBEsol.

abc: 5.368 5.368 7.622
angles: 90.00 90.00 90.00
Fractional positions:
K: 0.000 0.000 0.000
K: 0.500 0.500 0.500
Tl: 0.000 0.000 0.500
Tl: 0.500 0.500 0.000
Hg: 0.000 0.500 0.250
Hg: 0.000 0.500 0.750
Hg: 0.500 0.000 0.250
Hg: 0.500 0.000 0.750

Computed properties:
D(E_F)   3.8 states/eV per cell
Symmetry   I4/mmm, No. 139
Crystal system   tetragonal

=====

Of them, the most stable is 2 and the least stable is 1.

=====

1 | Density functional theory data (meta-GGA SCAN) for a crystal of KTl2Hg relaxed with PBEsol.

abc: 4.533 4.946 5.155
angles: 90.00 90.00 90.00
Fractional positions:
K: 0.000 0.000 0.000
Tl: 0.000 0.500 0.500
Tl: 0.500 0.000 0.500
Hg: 0.500 0.500 0.000

Computed properties:
D(E_F)   2.0 states/eV per cell
Symmetry   Pmmm, No. 47
Crystal system   orthorhombic

=====

2 | Density functional theory data (meta-GGA SCAN) for a crystal of KTl2Hg relaxed with PBEsol.

abc: 3.751 3.751 8.351
angles: 90.00 90.00 90.00
Fractional positions:
K: 0.000 0.000 0.000
Tl: 0.500 0.500 0.298
Tl: 0.500 0.500 0.702
Hg: 0.000 0.000 0.500

Computed properties:
D(E_F)   1.5 states/eV per cell
Symmetry   P4/mmm, No. 123
Crystal system   tetragonal

=====

Of them, the most stable is 2 and the least stable is 1.

=====

1 | Density functional theory data (meta-GGA SCAN) for a crystal of K2ZnHg relaxed with PBEsol.

abc: 4.611 5.105 12.157
angles: 90.00 90.00 90.00
Fractional positions:
K: 0.000 0.000 0.000
K: 0.000 0.500 0.500
K: 0.500 0.000 0.298
K: 0.500 0.500 0.798
Zn: 0.000 0.000 0.702
Zn: 0.000 0.500 0.202
Hg: 0.500 0.000 0.595
Hg: 0.500 0.500 0.095

Computed properties:
D(E_F)   4.7 states/eV per cell
Symmetry   Amm2, No. 38
Crystal system   orthorhombic

=====

2 | Density functional theory data (meta-GGA SCAN) for a crystal of K2ZnHg relaxed with PBEsol.

abc: 4.159 5.784 11.106
angles: 90.00 90.00 90.00
Fractional positions:
K: 0.000 0.000 0.000
K: 0.000 0.500 0.196
K: 0.500 0.000 0.696
K: 0.500 0.500 0.500
Zn: 0.000 0.500 0.775
Zn: 0.500 0.000 0.275
Hg: 0.000 0.000 0.423
Hg: 0.500 0.500 0.923

Computed properties:
D(E_F)   3.9 states/eV per cell
Symmetry   Imm2, No. 44
Crystal system   orthorhombic

=====

Of them, the most stable is 1 and the least stable is 2.

=====

1 | Density functional theory data (meta-GGA SCAN) for a crystal of La3Hg5 relaxed with PBEsol.

abc: 9.031 9.031 9.031
angles: 96.18 96.18 141.69
Fractional positions:
La: 0.166 0.666 0.832
La: 0.250 0.250 0.000
La: 0.334 0.166 0.500
La: 0.666 0.834 0.500
La: 0.750 0.750 0.000
La: 0.834 0.334 0.168
Hg: 0.077 0.239 0.316
Hg: 0.239 0.923 0.161
Hg: 0.250 0.750 0.500
Hg: 0.261 0.423 0.684
Hg: 0.423 0.739 0.161
Hg: 0.577 0.261 0.839
Hg: 0.739 0.577 0.316
Hg: 0.750 0.250 0.500
Hg: 0.761 0.077 0.839
Hg: 0.923 0.761 0.684

Computed properties:
D(E_F)   13.0 states/eV per cell
Symmetry   I4/mcm, No. 140
Crystal system   tetragonal

=====

2 | Density functional theory data (meta-GGA SCAN) for a crystal of La3Hg5 relaxed with PBEsol.

abc: 7.636 10.662 5.292
angles: 90.00 90.00 90.00
Fractional positions:
La: 0.000 0.000 0.000
La: 0.000 0.293 0.500
La: 0.000 0.707 0.500
La: 0.500 0.207 0.500
La: 0.500 0.500 0.000
La: 0.500 0.793 0.500
Hg: 0.000 0.500 0.000
Hg: 0.209 0.000 0.500
Hg: 0.250 0.250 0.000
Hg: 0.250 0.750 0.000
Hg: 0.291 0.500 0.500
Hg: 0.500 0.000 0.000
Hg: 0.709 0.500 0.500
Hg: 0.750 0.250 0.000
Hg: 0.750 0.750 0.000
Hg: 0.791 0.000 0.500

Computed properties:
D(E_F)   10.5 states/eV per cell
Symmetry   Cmmm, No. 65
Crystal system   orthorhombic

=====

Of them, the most stable is 2 and the least stable is 1.

=====

1 | Density functional theory data (meta-GGA SCAN) for a crystal of La3Hg relaxed with PBEsol.

abc: 4.917 4.917 4.917
angles: 90.00 90.00 90.00
Fractional positions:
La: 0.000 0.000 0.500
La: 0.000 0.500 0.000
La: 0.500 0.000 0.000
Hg: 0.500 0.500 0.500

Computed properties:
D(E_F)   4.4 states/eV per cell
Symmetry   Pm-3m, No. 221
Crystal system   cubic

=====

2 | Density functional theory data (meta-GGA SCAN) for a crystal of La3Hg relaxed with PBEsol.

abc: 3.654 11.199 5.974
angles: 90.00 90.00 90.00
Fractional positions:
La: 0.000 0.000 0.000
La: 0.000 0.220 0.383
La: 0.000 0.780 0.383
La: 0.500 0.280 0.883
La: 0.500 0.500 0.500
La: 0.500 0.720 0.883
Hg: 0.000 0.500 0.050
Hg: 0.500 0.000 0.550

Computed properties:
D(E_F)   8.5 states/eV per cell
Symmetry   Imm2, No. 44
Crystal system   orthorhombic

=====

3 | Density functional theory data (meta-GGA SCAN) for a crystal of La3Hg relaxed with PBEsol.

abc: 3.617 5.634 5.802
angles: 90.00 90.00 90.00
Fractional positions:
La: 0.000 0.000 0.000
La: 0.000 0.500 0.440
La: 0.500 0.500 0.890
Hg: 0.500 0.000 0.512

Computed properties:
D(E_F)   3.7 states/eV per cell
Symmetry   Pmm2, No. 25
Crystal system   orthorhombic

=====

4 | Density functional theory data (meta-GGA SCAN) for a crystal of La3Hg relaxed with PBEsol.

abc: 3.812 5.655 11.387
angles: 90.00 90.00 90.00
Fractional positions:
La: 0.000 0.000 0.000
La: 0.000 0.500 0.231
La: 0.000 0.500 0.769
La: 0.500 0.000 0.269
La: 0.500 0.000 0.731
La: 0.500 0.500 0.500
Hg: 0.000 0.000 0.500
Hg: 0.500 0.500 0.000

Computed properties:
D(E_F)   8.2 states/eV per cell
Symmetry   Immm, No. 71
Crystal system   orthorhombic

=====

Of them, the most stable is 2 and the least stable is 3.

=====

1 | Density functional theory data (meta-GGA SCAN) for a crystal of La3Hg relaxed with PBEsol.

abc: 4.830 4.830 10.054
angles: 90.00 90.00 90.00
Fractional positions:
La: 0.000 0.000 0.000
La: 0.000 0.500 0.250
La: 0.000 0.500 0.750
La: 0.500 0.000 0.250
La: 0.500 0.000 0.750
La: 0.500 0.500 0.500
Hg: 0.000 0.000 0.500
Hg: 0.500 0.500 0.000

Computed properties:
D(E_F)   8.4 states/eV per cell
Symmetry   I4/mmm, No. 139
Crystal system   tetragonal

=====

2 | Density functional theory data (meta-GGA SCAN) for a crystal of La3Hg relaxed with PBEsol.

abc: 5.715 6.807 6.092
angles: 90.00 90.00 90.00
Fractional positions:
La: 0.250 0.001 0.121
La: 0.250 0.250 0.595
La: 0.250 0.499 0.121
La: 0.750 0.501 0.879
La: 0.750 0.750 0.405
La: 0.750 0.999 0.879
Hg: 0.250 0.750 0.658
Hg: 0.750 0.250 0.342

Computed properties:
D(E_F)   7.3 states/eV per cell
Symmetry   Pmmn, No. 59
Crystal system   orthorhombic

=====

Of them, the most stable is 2 and the least stable is 1.

=====

1 | Density functional theory data (meta-GGA SCAN) for a crystal of La3Hg relaxed with PBEsol.

abc: 3.634 4.540 7.264
angles: 90.00 90.00 90.00
Fractional positions:
La: 0.000 0.000 0.000
La: 0.500 0.500 0.278
La: 0.500 0.500 0.722
Hg: 0.000 0.000 0.500

Computed properties:
D(E_F)   4.5 states/eV per cell
Symmetry   Pmmm, No. 47
Crystal system   orthorhombic

=====

2 | Density functional theory data (meta-GGA SCAN) for a crystal of La3Hg relaxed with PBEsol.

abc: 7.540 11.370 5.583
angles: 90.00 90.00 90.00
Fractional positions:
La: 0.000 0.085 0.250
La: 0.000 0.915 0.750
La: 0.234 0.366 0.250
La: 0.234 0.634 0.750
La: 0.266 0.134 0.750
La: 0.266 0.866 0.250
La: 0.500 0.415 0.750
La: 0.500 0.585 0.250
La: 0.734 0.134 0.750
La: 0.734 0.866 0.250
La: 0.766 0.366 0.250
La: 0.766 0.634 0.750
Hg: 0.000 0.380 0.750
Hg: 0.000 0.620 0.250
Hg: 0.500 0.120 0.250
Hg: 0.500 0.880 0.750

Computed properties:
D(E_F)   16.2 states/eV per cell
Symmetry   Cmcm, No. 63
Crystal system   orthorhombic

=====

Of them, the most stable is 2 and the least stable is 1.

=====

1 | Density functional theory data (meta-GGA SCAN) for a crystal of La4Hg relaxed with PBEsol.

abc: 7.863 7.863 4.855
angles: 90.00 90.00 90.00
Fractional positions:
La: 0.113 0.299 0.000
La: 0.201 0.613 0.500
La: 0.299 0.887 0.000
La: 0.387 0.201 0.500
La: 0.613 0.799 0.500
La: 0.701 0.113 0.000
La: 0.799 0.387 0.500
La: 0.887 0.701 0.000
Hg: 0.000 0.000 0.500
Hg: 0.500 0.500 0.000

Computed properties:
D(E_F)   11.1 states/eV per cell
Symmetry   I4/m, No. 87
Crystal system   tetragonal

=====

2 | Density functional theory data (meta-GGA SCAN) for a crystal of La4Hg relaxed with PBEsol.

abc: 4.219 4.219 18.912
angles: 90.00 90.00 90.00
Fractional positions:
La: 0.000 0.000 0.081
La: 0.000 0.000 0.919
La: 0.000 0.500 0.250
La: 0.000 0.500 0.750
La: 0.500 0.000 0.250
La: 0.500 0.000 0.750
La: 0.500 0.500 0.419
La: 0.500 0.500 0.581
Hg: 0.000 0.000 0.500
Hg: 0.500 0.500 0.000

Computed properties:
D(E_F)   10.2 states/eV per cell
Symmetry   I4/mmm, No. 139
Crystal system   tetragonal

=====

Of them, the most stable is 1 and the least stable is 2.